[1]
Below is a relaxed Be3CuAu2 crystal, with properties calculated at the PBE level.

a = 2.9275 Å, b = 2.9275 Å, c = 8.4212 Å
α = 90.00°, β = 90.00°, γ = 90.00°
Space group P4/mmm (No. 123)
Unique sites:
Be (0.0000, 0.0000, 0.0000) x1
Be (0.0000, 0.0000, 0.3569) x2
Cu (0.5000, 0.5000, 0.5000) x1
Au (0.5000, 0.5000, 0.1751) x2

The calculation puts the raw total energy at -3.740 eV per atom. As for the energy of formation: -0.101 eV/atom. The value obtained for the volume is 12.03 Å³/atom. Its density of states at the Fermi level is 0.354 states/eV per atom.

[2]
Below is a relaxed NaMoPd2Br crystal, with properties calculated at the PBE level.

a = 4.7724 Å, b = 4.7724 Å, c = 4.9802 Å
α = 90.00°, β = 90.00°, γ = 90.00°
Space group P4/mmm (No. 123)
Unique sites:
Na (0.0000, 0.0000, 0.0000) x1
Mo (0.5000, 0.5000, 0.5000) x1
Pd (0.0000, 0.5000, 0.0000) x2
Br (0.0000, 0.0000, 0.5000) x1

The calculation puts the raw total energy at -3.587 eV per atom. The value obtained for the volume is 22.69 Å³/atom. Its density of states at the Fermi level is 0.863 states/eV per atom.

[3]
Below is a relaxed K2LaPaTe4 crystal, with properties calculated at the PBE level.

a = 7.9740 Å, b = 4.5508 Å, c = 8.7243 Å
α = 90.00°, β = 107.39°, γ = 90.00°
Space group P2/m (No. 10)
Unique sites:
K (0.0000, 0.0000, 0.0000) x1
K (0.5000, 0.5000, 0.0000) x1
La (0.0000, 0.5000, 0.5000) x1
Pa (0.5000, 0.0000, 0.5000) x1
Te (0.2491, 0.0000, 0.7178) x2
Te (0.2702, 0.5000, 0.2855) x2

The calculation puts the raw total energy at -4.836 eV per atom. The value obtained for the volume is 37.77 Å³/atom. Its density of states at the Fermi level is 1.049 states/eV per atom.

[4]
Below is a relaxed Sb4PPb crystal, with properties calculated at the PBE level.

a = 8.7899 Å, b = 8.7899 Å, c = 8.7899 Å
α = 90.00°, β = 90.00°, γ = 90.00°
Space group F-43m (No. 216)
Unique sites:
Sb (0.1242, 0.1242, 0.1242) x16
P (0.2500, 0.2500, 0.7500) x4
Pb (0.0000, 0.0000, 0.5000) x4

The calculation puts the raw total energy at -3.728 eV per atom. The value obtained for the volume is 28.30 Å³/atom. Its density of states at the Fermi level is 0.620 states/eV per atom.

[5]
Below is a relaxed La6Co2AuBr3 crystal, with properties calculated at the PBE level.

a = 19.5728 Å, b = 4.2311 Å, c = 9.3105 Å
α = 90.00°, β = 110.84°, γ = 90.00°
Space group C2/m (No. 12)
Unique sites:
La (0.0256, 0.0000, 0.2499) x4
La (0.1634, 0.5000, 0.1267) x4
La (0.1851, 0.5000, 0.5587) x4
Co (0.1679, 0.0000, 0.3364) x4
Au (0.0000, 0.5000, 0.0000) x2
Br (0.0000, 0.5000, 0.5000) x2
Br (0.1644, 0.0000, 0.8346) x4

The calculation puts the raw total energy at -5.244 eV per atom. The value obtained for the volume is 30.03 Å³/atom. Its density of states at the Fermi level is 0.776 states/eV per atom.

[6]
Below is a relaxed TaInW2 crystal, with properties calculated at the PBE level.

a = 3.2545 Å, b = 4.7352 Å, c = 9.2820 Å
α = 90.00°, β = 90.00°, γ = 90.00°
Space group Cmm2 (No. 35)
Unique sites:
Ta (0.0000, 0.0000, 0.0000) x2
In (0.0000, 0.5000, 0.7310) x2
W (0.0000, 0.0000, 0.4711) x2
W (0.0000, 0.5000, 0.2411) x2

The calculation puts the raw total energy at -9.905 eV per atom. As for the energy of formation: 0.219 eV/atom. The value obtained for the volume is 17.88 Å³/atom. Its density of states at the Fermi level is 0.467 states/eV per atom.

[7]
Below is a relaxed GaPRuCl2 crystal, with properties calculated at the PBE level.

a = 4.6979 Å, b = 4.6979 Å, c = 5.0244 Å
α = 90.00°, β = 90.00°, γ = 90.00°
Space group P4/mmm (No. 123)
Unique sites:
Ga (0.0000, 0.0000, 0.0000) x1
P (0.0000, 0.0000, 0.5000) x1
Ru (0.5000, 0.5000, 0.5000) x1
Cl (0.0000, 0.5000, 0.0000) x2

The calculation puts the raw total energy at -3.517 eV per atom. The value obtained for the volume is 22.18 Å³/atom. The excess energy over the best structure of this formula in the dataset is 3.78 eV/f.u. Its density of states at the Fermi level is 0.939 states/eV per atom.

[8]
Below is a relaxed Y3MgZn8 crystal, with properties calculated at the PBE level.

a = 5.4286 Å, b = 5.4286 Å, c = 26.5204 Å
α = 90.00°, β = 90.00°, γ = 120.00°
Space group R3m (No. 160, hexagonal axes)
Unique sites:
Y (0.0000, 0.0000, 0.0000) x3
Y (0.0000, 0.0000, 0.1255) x3
Y (0.0000, 0.0000, 0.5068) x3
Mg (0.0000, 0.0000, 0.6295) x3
Zn (0.0000, 0.0000, 0.3153) x3
Zn (0.0000, 0.0000, 0.8148) x3
Zn (0.0017, 0.5008, 0.0646) x9
Zn (0.0023, 0.5011, 0.5649) x9

The calculation puts the raw total energy at -2.901 eV per atom. As for the energy of formation: -0.303 eV/atom. The value obtained for the volume is 18.80 Å³/atom. Its density of states at the Fermi level is 0.436 states/eV per atom.

[9]
Below is a relaxed ZnNi2As crystal, with properties calculated at the PBE level.

a = 5.9459 Å, b = 5.9459 Å, c = 5.9459 Å
α = 90.00°, β = 90.00°, γ = 90.00°
Space group F-43m (No. 216)
Unique sites:
Zn (0.0000, 0.0000, 0.0000) x4
Ni (0.0000, 0.0000, 0.5000) x4
Ni (0.2500, 0.2500, 0.2500) x4
As (0.2500, 0.2500, 0.7500) x4

The calculation puts the raw total energy at -4.313 eV per atom. As for the energy of formation: 0.059 eV/atom. The value obtained for the volume is 13.14 Å³/atom. The excess energy over the best structure of this formula in the dataset is 1.09 eV/f.u. Its density of states at the Fermi level is 0.420 states/eV per atom.

[10]
Below is a relaxed CaSc2PPd crystal, with properties calculated at the PBE level.

a = 4.9489 Å, b = 4.9489 Å, c = 5.4463 Å
α = 90.00°, β = 90.00°, γ = 90.00°
Space group P4/mmm (No. 123)
Unique sites:
Ca (0.0000, 0.0000, 0.0000) x1
Sc (0.0000, 0.5000, 0.5000) x2
P (0.5000, 0.5000, 0.0000) x1
Pd (0.0000, 0.0000, 0.5000) x1

The calculation puts the raw total energy at -5.146 eV per atom. As for the energy of formation: -0.093 eV/atom. The value obtained for the volume is 26.68 Å³/atom. Its density of states at the Fermi level is 1.054 states/eV per atom.

[11]
Below is a relaxed Be6Rh crystal, with properties calculated at the PBE level.

a = 7.2135 Å, b = 4.1420 Å, c = 8.1777 Å
α = 90.00°, β = 90.00°, γ = 90.00°
Space group Pnma (No. 62)
Unique sites:
Be (0.0302, 0.2500, 0.0673) x4
Be (0.0436, 0.5091, 0.2891) x8
Be (0.0791, 0.7500, 0.5127) x4
Be (0.1952, 0.2500, 0.8525) x4
Be (0.2092, 0.7500, 0.7479) x4
Rh (0.2391, 0.2500, 0.5682) x4

The calculation puts the raw total energy at -4.476 eV per atom. As for the energy of formation: -0.232 eV/atom. The value obtained for the volume is 8.73 Å³/atom. The excess energy over the best structure of this formula in the dataset is 0.00 eV/f.u. Its density of states at the Fermi level is 0.189 states/eV per atom.

[12]
Below is a relaxed Mg12PdPb3 crystal, with properties calculated at the PBE level.

a = 4.4991 Å, b = 4.4991 Å, c = 17.7984 Å
α = 90.00°, β = 90.00°, γ = 90.00°
Space group P4/mmm (No. 123)
Unique sites:
Mg (0.0000, 0.0000, 0.0000) x1
Mg (0.0000, 0.0000, 0.2359) x2
Mg (0.0000, 0.0000, 0.5000) x1
Mg (0.0000, 0.5000, 0.1046) x4
Mg (0.0000, 0.5000, 0.3685) x4
Pd (0.5000, 0.5000, 0.0000) x1
Pb (0.5000, 0.5000, 0.2382) x2
Pb (0.5000, 0.5000, 0.5000) x1

The calculation puts the raw total energy at -2.342 eV per atom. As for the energy of formation: -0.126 eV/atom. The value obtained for the volume is 22.52 Å³/atom. Its density of states at the Fermi level is 0.405 states/eV per atom.

[13]
Below is a relaxed ZrPdI2N crystal, with properties calculated at the PBE level.

a = 5.7807 Å, b = 5.7807 Å, c = 3.7131 Å
α = 90.00°, β = 90.00°, γ = 90.00°
Space group P4/mmm (No. 123)
Unique sites:
Zr (0.0000, 0.0000, 0.0000) x1
Pd (0.5000, 0.5000, 0.5000) x1
I (0.0000, 0.5000, 0.5000) x2
N (0.5000, 0.5000, 0.0000) x1

The calculation puts the raw total energy at -4.345 eV per atom. The value obtained for the volume is 24.82 Å³/atom. The excess energy over the best structure of this formula in the dataset is 2.85 eV/f.u. Its density of states at the Fermi level is 1.012 states/eV per atom.

[14]
Below is a relaxed Hg4TeSe2S crystal, with properties calculated at the PBE level.

a = 8.9032 Å, b = 8.9080 Å, c = 12.5514 Å
α = 90.00°, β = 90.00°, γ = 90.00°
Space group Fmm2 (No. 42)
Unique sites:
Hg (0.0000, 0.2335, 0.0000) x8
Hg (0.2344, 0.0000, 0.2515) x8
Te (0.0000, 0.0000, 0.6254) x4
Se (0.2500, 0.2500, 0.3757) x8
S (0.0000, 0.0000, 0.1259) x4

The calculation puts the raw total energy at -2.105 eV per atom. The value obtained for the volume is 31.11 Å³/atom. Its density of states at the Fermi level is 0.104 states/eV per atom.

[15]
Below is a relaxed SmCd3C4O12 crystal, with properties calculated at the PBE level.

a = 10.1120 Å, b = 10.1120 Å, c = 8.8646 Å
α = 90.00°, β = 90.00°, γ = 120.00°
Space group R32 (No. 155, hexagonal axes)
Unique sites:
Sm (0.0000, 0.0000, 0.0000) x3
Cd (0.0000, 0.5171, 0.0000) x9
C (0.0000, 0.0000, 0.5000) x3
C (0.0000, 0.4788, 0.5000) x9
O (0.0000, 0.6059, 0.5000) x9
O (0.0000, 0.8713, 0.5000) x9
O (0.0167, 0.2037, 0.8430) x18

The calculation puts the raw total energy at -6.700 eV per atom. The value obtained for the volume is 13.08 Å³/atom. Its density of states at the Fermi level is 0.133 states/eV per atom.

[16]
Below is a relaxed Mg6GaSi crystal, with properties calculated at the PBE level.

a = 4.8438 Å, b = 6.3507 Å, c = 10.6028 Å
α = 90.00°, β = 90.00°, γ = 90.00°
Space group Amm2 (No. 38)
Unique sites:
Mg (0.0000, 0.0000, 0.0000) x2
Mg (0.0000, 0.0000, 0.5000) x2
Mg (0.0000, 0.2489, 0.2566) x4
Mg (0.5000, 0.2497, 0.0839) x4
Ga (0.5000, 0.0000, 0.8341) x2
Si (0.5000, 0.0000, 0.3359) x2

The calculation puts the raw total energy at -2.242 eV per atom. The value obtained for the volume is 20.39 Å³/atom. The excess energy over the best structure of this formula in the dataset is 0.43 eV/f.u. Its density of states at the Fermi level is 0.420 states/eV per atom.

[17]
Below is a relaxed KThUSe4 crystal, with properties calculated at the PBE level.

a = 8.8173 Å, b = 8.9619 Å, c = 12.5232 Å
α = 90.00°, β = 90.00°, γ = 90.00°
Space group Imma (No. 74)
Unique sites:
K (0.0000, 0.2500, 0.1308) x4
Th (0.0000, 0.0000, 0.5000) x4
U (0.2500, 0.2500, 0.7500) x4
Se (0.0000, 0.0377, 0.7325) x8
Se (0.2161, 0.2500, 0.5159) x8

The calculation puts the raw total energy at -6.208 eV per atom. The value obtained for the volume is 35.34 Å³/atom. Its density of states at the Fermi level is 1.190 states/eV per atom.

[18]
Below is a relaxed YCdIr crystal, with properties calculated at the PBE level.

a = 4.7039 Å, b = 4.7039 Å, c = 3.3268 Å
α = 90.00°, β = 90.00°, γ = 120.00°
Space group P-6m2 (No. 187)
Unique sites:
Y (0.0000, 0.0000, 0.0000) x1
Cd (0.3333, 0.6667, 0.5000) x1
Ir (0.6667, 0.3333, 0.5000) x1

The calculation puts the raw total energy at -5.744 eV per atom. As for the energy of formation: -0.331 eV/atom. The value obtained for the volume is 21.25 Å³/atom. Its density of states at the Fermi level is 0.780 states/eV per atom.

[19]
Below is a relaxed La12ZnCu6 crystal, with properties calculated at the PBE level.

a = 13.2203 Å, b = 13.2203 Å, c = 12.0952 Å
α = 90.00°, β = 90.00°, γ = 120.00°
Space group R-3 (No. 148, hexagonal axes)
Unique sites:
La (0.0218, 0.2018, 0.3872) x18
La (0.0298, 0.2080, 0.8795) x18
Zn (0.0000, 0.0000, 0.0000) x3
Cu (0.0377, 0.2609, 0.6427) x18

The calculation puts the raw total energy at -4.401 eV per atom. As for the energy of formation: 0.072 eV/atom. The value obtained for the volume is 32.12 Å³/atom. Its density of states at the Fermi level is 1.514 states/eV per atom.

[20]
Below is a relaxed Nd6Sm3Ho2 crystal, with properties calculated at the PBE level.

a = 3.6381 Å, b = 3.6381 Å, c = 97.8966 Å
α = 90.00°, β = 90.00°, γ = 120.00°
Space group R-3m (No. 166, hexagonal axes)
Unique sites:
Nd (0.0000, 0.0000, 0.0916) x6
Nd (0.0000, 0.0000, 0.1822) x6
Nd (0.0000, 0.0000, 0.3638) x6
Sm (0.0000, 0.0000, 0.0000) x3
Sm (0.0000, 0.0000, 0.2724) x6
Ho (0.0000, 0.0000, 0.4547) x6

The calculation puts the raw total energy at -4.707 eV per atom. As for the energy of formation: 0.013 eV/atom. The value obtained for the volume is 34.00 Å³/atom. The excess energy over the best structure of this formula in the dataset is 0.00 eV/f.u. Its density of states at the Fermi level is 1.258 states/eV per atom.

[21]
Below is a relaxed Ti2NbPt crystal, with properties calculated at the PBE level.

a = 4.4698 Å, b = 4.4698 Å, c = 3.2585 Å
α = 90.00°, β = 90.00°, γ = 90.00°
Space group P4/mmm (No. 123)
Unique sites:
Ti (0.0000, 0.5000, 0.0000) x2
Nb (0.0000, 0.0000, 0.5000) x1
Pt (0.5000, 0.5000, 0.5000) x1

The calculation puts the raw total energy at -8.526 eV per atom. As for the energy of formation: -0.551 eV/atom. The value obtained for the volume is 16.28 Å³/atom. The excess energy over the best structure of this formula in the dataset is 0.00 eV/f.u. Its density of states at the Fermi level is 0.946 states/eV per atom.

[22]
Below is a relaxed Tb8Nd4Tm3 crystal, with properties calculated at the PBE level.

a = 13.4483 Å, b = 12.8272 Å, c = 6.7721 Å
α = 90.00°, β = 119.97°, γ = 90.00°
Space group C2/m (No. 12)
Unique sites:
Tb (0.0000, 0.1390, 0.0000) x4
Tb (0.0000, 0.2444, 0.5000) x4
Tb (0.2274, 0.0000, 0.4557) x4
Tb (0.2336, 0.0000, 0.9835) x4
Nd (0.0000, 0.5000, 0.0000) x2
Nd (0.0000, 0.5000, 0.5000) x2
Nd (0.2500, 0.2500, 0.5000) x4
Tm (0.0000, 0.0000, 0.5000) x2
Tm (0.2500, 0.2500, 0.0000) x4

The calculation puts the raw total energy at -4.271 eV per atom. As for the energy of formation: 0.364 eV/atom. The value obtained for the volume is 33.73 Å³/atom. Its density of states at the Fermi level is 1.947 states/eV per atom.

[23]
Below is a relaxed ErAlNiIr crystal, with properties calculated at the PBE level.

a = 6.3772 Å, b = 6.3772 Å, c = 6.3772 Å
α = 90.00°, β = 90.00°, γ = 90.00°
Space group F-43m (No. 216)
Unique sites:
Er (0.0000, 0.0000, 0.0000) x4
Al (0.0000, 0.0000, 0.5000) x4
Ni (0.2500, 0.2500, 0.7500) x4
Ir (0.2500, 0.2500, 0.2500) x4

The calculation puts the raw total energy at -6.387 eV per atom. As for the energy of formation: -0.650 eV/atom. The value obtained for the volume is 16.21 Å³/atom. Its density of states at the Fermi level is 0.634 states/eV per atom.